# PBE-GGA Pm4Hg3Pb, optimized geometry
# - DOS at the Fermi energy (states/eV/atom) = 1.01
# - energy above the lowest structure with this stoichiometry (meV per atom) = 0
data_Pm4Hg3Pb
_cell_length_a 5.4238
_cell_length_b 5.4238
_cell_length_c 7.6965
_cell_angle_alpha 90.00
_cell_angle_beta 90.00
_cell_angle_gamma 90.00
_symmetry_space_group_name_H-M 'P 4/m m m'
_symmetry_Int_Tables_number 123
_symmetry_space_group_name_Hall '-P 4 2'
loop_
_atom_site_label
_atom_site_type_symbol
_atom_site_fract_x
_atom_site_fract_y
_atom_site_fract_z
Pm1 Pm 0.0000 0.5000 0.2456
Hg1 Hg 0.0000 0.0000 0.0000
Hg2 Hg 0.0000 0.0000 0.5000
Hg3 Hg 0.5000 0.5000 0.0000
Pb1 Pb 0.5000 0.5000 0.5000



# PBE-GGA TlAgSe2, optimized geometry
# - raw formation energy (kcal/mol of atoms) = -1.20
# - DOS at the Fermi energy (states/eV/atom) = 0.29
data_TlAgSe2
_cell_length_a 6.9508
_cell_length_b 8.0589
_cell_length_c 7.0089
_cell_angle_alpha 90.00
_cell_angle_beta 90.00
_cell_angle_gamma 90.00
_symmetry_space_group_name_H-M 'P b c n'
_symmetry_Int_Tables_number 60
_symmetry_space_group_name_Hall '-P 2n 2ab'
loop_
_atom_site_label
_atom_site_type_symbol
_atom_site_fract_x
_atom_site_fract_y
_atom_site_fract_z
Tl1 Tl 0.0000 0.1223 0.2500
Ag1 Ag 0.0000 0.3688 0.7500
Se1 Se 0.2364 0.3816 0.0770



# PBE-GGA MgCuRuC, optimized geometry
# - DOS at the Fermi energy (states/eV/atom) = 0.75
# - energy above the lowest structure with this stoichiometry (meV per atom) = 124
data_MgCuRuC
_cell_length_a 7.8064
_cell_length_b 2.8966
_cell_length_c 4.8288
_cell_angle_alpha 90.00
_cell_angle_beta 116.37
_cell_angle_gamma 90.00
_symmetry_space_group_name_H-M 'C 1 m 1'
_symmetry_Int_Tables_number 8
_symmetry_space_group_name_Hall 'C -2y'
loop_
_atom_site_label
_atom_site_type_symbol
_atom_site_fract_x
_atom_site_fract_y
_atom_site_fract_z
Mg1 Mg 0.0000 0.0000 0.0000
Cu1 Cu 0.3049 0.5000 0.2945
Ru1 Ru 0.1154 0.5000 0.6199
C1 C 0.2991 0.0000 0.6001



# PBE-GGA LaMgAlIn2, optimized geometry
# - DOS at the Fermi energy (states/eV/atom) = 0.61
# - E (eV per formula unit) = -17.3
data_LaMgAlIn2
_cell_length_a 4.5447
_cell_length_b 4.5447
_cell_length_c 12.3407
_cell_angle_alpha 90.00
_cell_angle_beta 90.00
_cell_angle_gamma 90.00
_symmetry_space_group_name_H-M 'I -4 m 2'
_symmetry_Int_Tables_number 119
_symmetry_space_group_name_Hall 'I -4 -2'
loop_
_atom_site_label
_atom_site_type_symbol
_atom_site_fract_x
_atom_site_fract_y
_atom_site_fract_z
La1 La 0.0000 0.0000 0.0000
Mg1 Mg 0.0000 0.5000 0.7500
Al1 Al 0.0000 0.5000 0.2500
In1 In 0.0000 0.0000 0.3867



# PBE-GGA Li3SbPd, optimized geometry
# - raw formation energy (kcal/mol of atoms) = -1.91
# - DOS at the Fermi energy (states/eV/atom) = 0.54
# - energy above the lowest structure with this stoichiometry (meV per atom) = 371
data_Li3SbPd
_cell_length_a 4.6291
_cell_length_b 4.6291
_cell_length_c 4.6291
_cell_angle_alpha 90.00
_cell_angle_beta 90.00
_cell_angle_gamma 90.00
_symmetry_space_group_name_H-M 'P m -3 m'
_symmetry_Int_Tables_number 221
_symmetry_space_group_name_Hall '-P 4 2 3'
loop_
_atom_site_label
_atom_site_type_symbol
_atom_site_fract_x
_atom_site_fract_y
_atom_site_fract_z
Li1 Li 0.0000 0.0000 0.5000
Sb1 Sb 0.5000 0.5000 0.5000
Pd1 Pd 0.0000 0.0000 0.0000



# PBE-GGA PaTeAs2, optimized geometry
# - raw formation energy (kcal/mol of atoms) = -4.37
# - DOS at the Fermi energy (states/eV/atom) = 1.17
data_PaTeAs2
_cell_length_a 4.2537
_cell_length_b 4.2537
_cell_length_c 25.1422
_cell_angle_alpha 90.00
_cell_angle_beta 90.00
_cell_angle_gamma 120.00
_symmetry_space_group_name_H-M 'R -3 m'
_symmetry_Int_Tables_number 166
_symmetry_space_group_name_Hall '-R 3 2"'
loop_
_atom_site_label
_atom_site_type_symbol
_atom_site_fract_x
_atom_site_fract_y
_atom_site_fract_z
Pa1 Pa 0.0000 0.0000 0.0000
Te1 Te 0.0000 0.0000 0.5000
As1 As 0.0000 0.0000 0.3904



# PBE-GGA Sr2Si2Br, optimized geometry
# - raw formation energy (kcal/mol of atoms) = -20.57
# - DOS at the Fermi energy (states/eV/atom) = 0.48
# - energy above the lowest structure with this stoichiometry (meV per atom) = 0
data_Sr2Si2Br
_cell_length_a 4.2188
_cell_length_b 4.2188
_cell_length_c 26.3288
_cell_angle_alpha 90.00
_cell_angle_beta 90.00
_cell_angle_gamma 120.00
_symmetry_space_group_name_H-M 'R -3 m'
_symmetry_Int_Tables_number 166
_symmetry_space_group_name_Hall '-R 3 2"'
loop_
_atom_site_label
_atom_site_type_symbol
_atom_site_fract_x
_atom_site_fract_y
_atom_site_fract_z
Sr1 Sr 0.0000 0.0000 0.0821
Si1 Si 0.0000 0.0000 0.3248
Br1 Br 0.0000 0.0000 0.5000



# PBE-GGA KTePtO6, optimized geometry
# - raw formation energy (kcal/mol of atoms) = -21.93
# - DOS at the Fermi energy (states/eV/atom) = 0.69
data_KTePtO6
_cell_length_a 5.2832
_cell_length_b 5.2832
_cell_length_c 6.0984
_cell_angle_alpha 90.00
_cell_angle_beta 90.00
_cell_angle_gamma 120.00
_symmetry_space_group_name_H-M 'P 3 1 2'
_symmetry_Int_Tables_number 149
_symmetry_space_group_name_Hall 'P 3 2'
loop_
_atom_site_label
_atom_site_type_symbol
_atom_site_fract_x
_atom_site_fract_y
_atom_site_fract_z
K1 K 0.0000 0.0000 0.0000
Te1 Te 0.6667 0.3333 0.5000
Pt1 Pt 0.3333 0.6667 0.5000
O1 O 0.3772 0.0047 0.6808



# PBE-GGA NaCuSi, optimized geometry
# - raw formation energy (kcal/mol of atoms) = -1.27
# - DOS at the Fermi energy (states/eV/atom) = 0.29
data_NaCuSi
_cell_length_a 5.8082
_cell_length_b 5.8990
_cell_length_c 13.3171
_cell_angle_alpha 90.00
_cell_angle_beta 90.00
_cell_angle_gamma 90.00
_symmetry_space_group_name_H-M 'F m m m'
_symmetry_Int_Tables_number 69
_symmetry_space_group_name_Hall '-F 2 2'
loop_
_atom_site_label
_atom_site_type_symbol
_atom_site_fract_x
_atom_site_fract_y
_atom_site_fract_z
Na1 Na 0.0000 0.0000 0.1723
Cu1 Cu 0.2500 0.2500 0.0000
Si1 Si 0.0000 0.0000 0.4068



# PBE-GGA CaMg8Ni4, optimized geometry
# - DOS at the Fermi energy (states/eV/atom) = 0.43
# - E (eV per formula unit) = -39.6
data_CaMg8Ni4
_cell_length_a 9.2807
_cell_length_b 9.2807
_cell_length_c 5.4207
_cell_angle_alpha 90.00
_cell_angle_beta 90.00
_cell_angle_gamma 90.00
_symmetry_space_group_name_H-M 'I 4/m m m'
_symmetry_Int_Tables_number 139
_symmetry_space_group_name_Hall '-I 4 2'
loop_
_atom_site_label
_atom_site_type_symbol
_atom_site_fract_x
_atom_site_fract_y
_atom_site_fract_z
Ca1 Ca 0.0000 0.0000 0.0000
Mg1 Mg 0.0000 0.2226 0.5000
Mg2 Mg 0.0000 0.3353 0.0000
Ni1 Ni 0.2500 0.2500 0.2500



# PBE-GGA Pm2CuSe4, optimized geometry
# - raw formation energy (kcal/mol of atoms) = -31.77
# - DOS at the Fermi energy (states/eV/atom) = 0.20
data_Pm2CuSe4
_cell_length_a 7.1448
_cell_length_b 5.8566
_cell_length_c 8.2970
_cell_angle_alpha 90.00
_cell_angle_beta 106.86
_cell_angle_gamma 90.00
_symmetry_space_group_name_H-M 'P 1 21/m 1'
_symmetry_Int_Tables_number 11
_symmetry_space_group_name_Hall '-P 2yb'
loop_
_atom_site_label
_atom_site_type_symbol
_atom_site_fract_x
_atom_site_fract_y
_atom_site_fract_z
Pm1 Pm 0.2311 0.2500 0.4330
Pm2 Pm 0.2385 0.2500 0.9336
Cu1 Cu 0.2356 0.7500 0.6838
Se1 Se 0.0738 0.7500 0.8983
Se2 Se 0.0745 0.7500 0.3885
Se3 Se 0.4874 0.5088 0.2463



# PBE-GGA CaPmPCl, optimized geometry
# - raw formation energy (kcal/mol of atoms) = -35.85
# - DOS at the Fermi energy (states/eV/atom) = 0.46
data_CaPmPCl
_cell_length_a 4.0514
_cell_length_b 4.0514
_cell_length_c 21.6307
_cell_angle_alpha 90.00
_cell_angle_beta 90.00
_cell_angle_gamma 120.00
_symmetry_space_group_name_H-M 'R 3 m'
_symmetry_Int_Tables_number 160
_symmetry_space_group_name_Hall 'R 3 -2"'
loop_
_atom_site_label
_atom_site_type_symbol
_atom_site_fract_x
_atom_site_fract_y
_atom_site_fract_z
Ca1 Ca 0.0000 0.0000 0.0000
Pm1 Pm 0.0000 0.0000 0.1916
P1 P 0.0000 0.0000 0.5973
Cl1 Cl 0.0000 0.0000 0.4260